1.
DFT (GGA-PBE) results for a geometry-optimized MnTe2Cl structure.

```
4
Lattice="5.121 0.000 0.000 0.000 4.144 0.000 -1.377 0.000 5.473" Properties=species:S:1:pos:R:3 pbc="T T T"
Mn 0.000 0.000 0.000
Te 0.349 2.072 1.836
Te 3.395 2.072 3.637
Cl 2.560 0.000 0.000
```

- space group = P2/m
- distance to the lowest polymorph of the same formula (kcal/mol of atoms) = 0.00


2.
DFT (GGA-PBE) results for a geometry-optimized MnTe2Cl structure.

```
16
Lattice="7.106 0.000 0.000 0.000 7.106 0.000 0.000 0.000 7.106" Properties=species:S:1:pos:R:3 pbc="T T T"
Mn 0.000 0.000 0.000
Mn 0.000 3.553 3.553
Mn 3.553 0.000 3.553
Mn 3.553 3.553 0.000
Te 1.777 1.777 1.777
Te 1.777 1.777 5.330
Te 1.777 5.330 1.777
Te 1.777 5.330 5.330
Te 5.330 1.777 1.777
Te 5.330 1.777 5.330
Te 5.330 5.330 1.777
Te 5.330 5.330 5.330
Cl 0.000 0.000 3.553
Cl 0.000 3.553 0.000
Cl 3.553 0.000 0.000
Cl 3.553 3.553 3.553
```

- space group = Fm-3m
- distance to the lowest polymorph of the same formula (kcal/mol of atoms) = 11.76


3.
DFT (GGA-PBE) results for a geometry-optimized MnTe2Cl structure.

```
8
Lattice="5.793 0.000 0.000 0.000 10.425 0.000 0.000 0.000 3.357" Properties=species:S:1:pos:R:3 pbc="T T T"
Mn 0.000 0.000 0.000
Mn 2.897 5.212 0.000
Te 1.448 2.606 1.678
Te 1.448 7.819 1.678
Te 4.345 2.606 1.678
Te 4.345 7.819 1.678
Cl 0.000 5.212 0.000
Cl 2.897 0.000 0.000
```

- space group = Cmmm
- distance to the lowest polymorph of the same formula (kcal/mol of atoms) = 13.81


4.
DFT (GGA-PBE) results for a geometry-optimized MnTe2Cl structure.

```
8
Lattice="11.559 0.000 0.000 0.000 3.444 0.000 -1.011 0.000 5.414" Properties=species:S:1:pos:R:3 pbc="T T T"
Mn 0.000 0.000 0.000
Mn 5.779 1.722 0.000
Te 1.886 1.722 0.946
Te 2.883 0.000 4.467
Te 7.665 0.000 0.946
Te 8.662 1.722 4.467
Cl -0.505 1.722 2.707
Cl 5.274 0.000 2.707
```

- space group = C2/m
- distance to the lowest polymorph of the same formula (kcal/mol of atoms) = 5.53


5.
DFT (GGA-PBE) results for a geometry-optimized MnTe4Cl structure.

```
6
Lattice="0.000 4.448 4.448 4.448 0.000 4.448 4.448 4.448 0.000" Properties=species:S:1:pos:R:3 pbc="T T T"
Mn 0.000 0.000 0.000
Te 5.559 3.336 3.336
Te 3.336 5.559 3.336
Te 3.336 3.336 5.559
Te 5.559 5.559 5.559
Cl 2.224 2.224 2.224
```

- space group = F-43m


6.
DFT (GGA-PBE) results for a geometry-optimized MnTeCl4 structure.

```
6
Lattice="0.000 4.156 4.156 4.156 0.000 4.156 4.156 4.156 0.000" Properties=species:S:1:pos:R:3 pbc="T T T"
Mn 0.000 0.000 0.000
Te 6.234 6.234 6.234
Cl 3.110 3.110 3.110
Cl 5.202 5.202 3.110
Cl 5.202 3.110 5.202
Cl 3.110 5.202 5.202
```

- space group = F-43m


7.
DFT (GGA-PBE) results for a geometry-optimized MnTe2Cl structure.

```
12
Lattice="3.860 0.000 0.000 -1.930 3.343 0.000 0.000 0.000 23.048" Properties=species:S:1:pos:R:3 pbc="T T T"
Mn 0.000 0.000 0.000
Mn 0.000 2.228 15.366
Mn 1.930 1.114 7.683
Te 0.000 0.000 6.209
Te 0.000 0.000 16.839
Te 0.000 2.228 9.157
Te 0.000 2.228 21.574
Te 1.930 1.114 1.474
Te 1.930 1.114 13.892
Cl 0.000 0.000 11.524
Cl 0.000 2.228 3.841
Cl 1.930 1.114 19.207
```

- space group = R-3m
- distance to the lowest polymorph of the same formula (kcal/mol of atoms) = 2.02


8.
DFT (GGA-PBE) results for a geometry-optimized MnTe2Cl structure.

```
8
Lattice="3.419 0.000 0.000 0.000 5.257 0.000 0.000 0.000 11.360" Properties=species:S:1:pos:R:3 pbc="T T T"
Mn 0.000 0.000 0.000
Mn 1.710 2.629 5.680
Te 0.000 2.629 3.584
Te 0.000 2.629 7.776
Te 1.710 0.000 2.096
Te 1.710 0.000 9.265
Cl 0.000 0.000 5.680
Cl 1.710 2.629 0.000
```

- space group = Immm
- distance to the lowest polymorph of the same formula (kcal/mol of atoms) = 6.78


9.
DFT (GGA-PBE) results for a geometry-optimized MnTe2Cl structure.

```
16
Lattice="6.866 0.000 0.000 0.000 6.866 0.000 0.000 0.000 10.931" Properties=species:S:1:pos:R:3 pbc="T T T"
Mn 0.000 0.000 0.000
Mn 0.000 3.433 2.733
Mn 3.433 0.000 8.198
Mn 3.433 3.433 5.465
Te 1.197 1.716 1.366
Te 1.716 4.630 4.099
Te 1.716 5.669 9.564
Te 2.236 1.716 6.832
Te 4.630 5.149 6.832
Te 5.149 1.197 9.564
Te 5.149 2.236 4.099
Te 5.669 5.149 1.366
Cl 0.000 0.000 5.465
Cl 0.000 3.433 8.198
Cl 3.433 0.000 2.733
Cl 3.433 3.433 0.000
```

- space group = I-42d
- distance to the lowest polymorph of the same formula (kcal/mol of atoms) = 8.82


10.
DFT (GGA-PBE) results for a geometry-optimized MnTe2Cl structure.

```
8
Lattice="12.024 0.000 0.000 0.000 3.562 0.000 -1.570 0.000 5.802" Properties=species:S:1:pos:R:3 pbc="T T T"
Mn 0.000 0.000 0.000
Mn 6.012 1.781 0.000
Te 0.089 1.781 2.217
Te 2.188 1.781 0.448
Te 6.101 0.000 2.217
Te 8.200 0.000 0.448
Cl 3.405 0.000 4.425
Cl 9.417 1.781 4.425
```

- space group = Cm
- distance to the lowest polymorph of the same formula (kcal/mol of atoms) = 0.75


11.
DFT (GGA-PBE) results for a geometry-optimized MnTe2Cl structure.

```
16
Lattice="7.284 0.000 0.000 0.000 7.284 0.000 0.000 0.000 7.284" Properties=species:S:1:pos:R:3 pbc="T T T"
Mn 0.000 0.000 0.000
Mn 0.000 3.642 3.642
Mn 3.642 0.000 3.642
Mn 3.642 3.642 0.000
Te 0.000 0.000 3.642
Te 0.000 3.642 0.000
Te 1.821 1.821 1.821
Te 1.821 5.463 5.463
Te 3.642 0.000 0.000
Te 3.642 3.642 3.642
Te 5.463 1.821 5.463
Te 5.463 5.463 1.821
Cl 1.821 1.821 5.463
Cl 1.821 5.463 1.821
Cl 5.463 1.821 1.821
Cl 5.463 5.463 5.463
```

- space group = F-43m
- distance to the lowest polymorph of the same formula (kcal/mol of atoms) = 13.74


12.
DFT (GGA-PBE) results for a geometry-optimized MnTe2Cl structure.

```
12
Lattice="3.329 0.000 0.000 -1.665 2.883 0.000 0.000 0.000 31.348" Properties=species:S:1:pos:R:3 pbc="T T T"
Mn 0.000 0.000 0.000
Mn 0.000 1.922 20.899
Mn 1.665 0.961 10.449
Te 0.000 0.000 2.667
Te 0.000 0.000 28.682
Te 0.000 1.922 18.232
Te 0.000 1.922 23.565
Te 1.665 0.961 7.783
Te 1.665 0.961 13.116
Cl 0.000 0.000 15.674
Cl 0.000 1.922 5.225
Cl 1.665 0.961 26.124
```

- space group = R-3m
- distance to the lowest polymorph of the same formula (kcal/mol of atoms) = 16.71


no.,formation energy from raw total energies (meV/atom),M_tot (μB per formula unit)
1,-333.0,4.074
2,176.8,3.171
3,265.8,4.667
4,-93.3,4.038
5,413.5,4.431
6,639.3,4.893
7,-245.5,2.749
8,-39.0,3.450
9,49.6,2.109
10,-300.6,4.404
11,262.7,3.846
12,391.4,4.079